The following is a DFT calculation (PBE-GGA) of Ho7Er3Th after structural relaxation.

## Properties
* SG: P3m1, No. 156
* ΔH_f (0 K): 0.191 eV/atom
* polymorph energy (0 for the lowest one): 33 meV per atom
* total magnetization: 0.005 μB/f.u.
* V: 33.0 Å³/atom

extended XYZ file:
```
11
Lattice="-6.663 1.673 5.117 0.606 -6.355 2.867 3.469 5.422 2.744" Properties=species:S:1:pos:R:3 pbc="T T T"
Ho -2.205 -0.472 3.720
Ho -1.904 -3.627 5.144
Ho 0.481 0.962 2.029
Ho 0.800 -2.238 3.410
Ho 2.484 0.503 4.787
Ho -0.181 -0.935 6.506
Ho 2.186 3.626 3.378
Er -1.446 3.548 8.169
Er -3.469 4.010 5.384
Er -3.168 0.857 6.807
Th -0.480 2.249 5.085
```